No. 1
{"formula": "LaNi2Au", "functional": "PBEsol", "state": "optimized geometry", "e_form_ev_per_atom": -0.0752, "sg": "P4/mmm", "cell": [[3.3957, 0.0000, 0.0000], [0.0000, 3.3957, 0.0000], [0.0000, 0.0000, 5.8952]], "species": ["La", "Ni", "Ni", "Au"], "frac_coords": [[0.0000, 0.0000, 0.0000], [0.5000, 0.5000, 0.2917], [0.5000, 0.5000, 0.7083], [0.0000, 0.0000, 0.5000]]}

***

No. 2
{"formula": "LaNiAu2", "functional": "PBEsol", "state": "optimized geometry", "e_form_ev_per_atom": -0.3688, "sg": "Amm2", "cell": [[3.8772, 0.0000, 0.0000], [0.0000, 1.9360, 5.2313], [0.0000, -1.9360, 5.2313]], "species": ["La", "Ni", "Au", "Au"], "frac_coords": [[0.0000, 0.0000, 0.0000], [0.5000, 0.5680, 0.5680], [0.0000, 0.7246, 0.7246], [0.5000, 0.3125, 0.3125]]}

***

No. 3
{"formula": "La2Ni2Au", "functional": "PBEsol", "state": "optimized geometry", "e_form_ev_per_atom": -0.4743, "sg": "P4/mbm", "cell": [[7.2247, 0.0000, 0.0000], [0.0000, 7.2247, 0.0000], [0.0000, 0.0000, 3.8608]], "species": ["La", "La", "La", "La", "Ni", "Ni", "Ni", "Ni", "Au", "Au"], "frac_coords": [[0.1798, 0.3202, 0.0000], [0.3202, 0.8202, 0.0000], [0.6798, 0.1798, 0.0000], [0.8202, 0.6798, 0.0000], [0.1203, 0.6203, 0.5000], [0.3797, 0.1203, 0.5000], [0.6203, 0.8797, 0.5000], [0.8797, 0.3797, 0.5000], [0.0000, 0.0000, 0.5000], [0.5000, 0.5000, 0.5000]]}

***

No. 4
{"formula": "LaNi2Au", "functional": "PBEsol", "state": "optimized geometry", "e_form_ev_per_atom": -0.0828, "sg": "P4mm", "cell": [[3.5546, 0.0000, 0.0000], [0.0000, 3.5546, 0.0000], [0.0000, 0.0000, 5.4401]], "species": ["La", "Ni", "Ni", "Au"], "frac_coords": [[0.0000, 0.0000, 0.0000], [0.0000, 0.0000, 0.4681], [0.5000, 0.5000, 0.2250], [0.5000, 0.5000, 0.6768]]}

***

No. 5
{"formula": "LaNiPd2Au", "functional": "PBEsol", "state": "optimized geometry", "e_form_ev_per_atom": -0.0890, "sg": "P4/mmm", "cell": [[4.6316, 0.0000, 0.0000], [0.0000, 4.6316, 0.0000], [0.0000, 0.0000, 4.6678]], "species": ["La", "Ni", "Pd", "Pd", "Au"], "frac_coords": [[0.0000, 0.0000, 0.0000], [0.5000, 0.5000, 0.5000], [0.0000, 0.5000, 0.5000], [0.5000, 0.0000, 0.5000], [0.5000, 0.5000, 0.0000]]}

***

No. 6
{"formula": "LaAuO3", "functional": "PBEsol", "state": "optimized geometry", "formation_energy_uncorrected_ev_per_atom": -1.932, "sg": "Pbcm", "cell": [[4.0090, 0.0000, 0.0000], [0.0000, 13.0043, 0.0000], [0.0000, 0.0000, 5.6701]], "species": ["La", "La", "La", "La", "Au", "Au", "Au", "Au", "O", "O", "O", "O", "O", "O", "O", "O", "O", "O", "O", "O"], "frac_coords": [[0.2361, 0.0811, 0.2500], [0.2361, 0.4189, 0.7500], [0.7639, 0.5811, 0.2500], [0.7639, 0.9189, 0.7500], [0.4304, 0.6704, 0.7500], [0.4304, 0.8296, 0.2500], [0.5696, 0.1704, 0.7500], [0.5696, 0.3296, 0.2500], [0.2429, 0.5793, 0.5047], [0.2429, 0.5793, 0.9953], [0.2429, 0.9207, 0.0047], [0.2429, 0.9207, 0.4953], [0.3253, 0.2500, 0.0000], [0.3253, 0.2500, 0.5000], [0.6747, 0.7500, 0.0000], [0.6747, 0.7500, 0.5000], [0.7571, 0.0793, 0.5047], [0.7571, 0.0793, 0.9953], [0.7571, 0.4207, 0.0047], [0.7571, 0.4207, 0.4953]]}

***

No. 7
{"formula": "La2AuO4", "functional": "PBEsol", "state": "optimized geometry", "formation_energy_uncorrected_ev_per_atom": -2.498, "sg": "I4/mmm", "cell": [[-2.0700, 2.0700, 6.1311], [2.0700, -2.0700, 6.1311], [2.0700, 2.0700, -6.1311]], "species": ["La", "La", "Au", "O", "O", "O", "O"], "frac_coords": [[0.1522, 0.1522, 0.0000], [0.8478, 0.8478, 0.0000], [0.5000, 0.5000, 0.0000], [0.0000, 0.5000, 0.5000], [0.2500, 0.7500, 0.5000], [0.5000, 0.0000, 0.5000], [0.7500, 0.2500, 0.5000]]}

***

No. 8
{"formula": "LaAuO2", "functional": "PBEsol", "state": "optimized geometry", "formation_energy_uncorrected_ev_per_atom": -1.600, "sg": "Fm-3m", "polymorph_energy_mev_per_atom": 572, "cell": [[0.0000, 3.0359, 3.0359], [3.0359, 0.0000, 3.0359], [3.0359, 3.0359, 0.0000]], "species": ["La", "Au", "O", "O"], "frac_coords": [[0.0000, 0.0000, 0.0000], [0.5000, 0.5000, 0.5000], [0.2500, 0.2500, 0.2500], [0.7500, 0.7500, 0.7500]]}

***

No. 9
{"formula": "LaAuO2", "functional": "PBEsol", "state": "optimized geometry", "formation_energy_uncorrected_ev_per_atom": -2.173, "sg": "P6_3/mmc", "polymorph_energy_mev_per_atom": 0, "cell": [[3.8484, 0.0000, 0.0000], [-1.9242, 3.3328, 0.0000], [0.0000, 0.0000, 11.7854]], "species": ["La", "La", "Au", "Au", "O", "O", "O", "O"], "frac_coords": [[0.0000, 0.0000, 0.0000], [0.0000, 0.0000, 0.5000], [0.3333, 0.6667, 0.2500], [0.6667, 0.3333, 0.7500], [0.3333, 0.6667, 0.0812], [0.3333, 0.6667, 0.4188], [0.6667, 0.3333, 0.5812], [0.6667, 0.3333, 0.9188]]}

***

No. 10
{"formula": "LaAuO2", "functional": "PBEsol", "state": "optimized geometry", "formation_energy_uncorrected_ev_per_atom": -2.172, "sg": "R-3m", "polymorph_energy_mev_per_atom": 0, "cell": [[1.9246, 1.1112, 5.8914], [-1.9246, 1.1112, 5.8914], [0.0000, -2.2224, 5.8914]], "species": ["La", "Au", "O", "O"], "frac_coords": [[0.0000, 0.0000, 0.0000], [0.5000, 0.5000, 0.5000], [0.3874, 0.3874, 0.3874], [0.6126, 0.6126, 0.6126]]}

***

No. 11
{"formula": "LaOs2Au", "functional": "PBEsol", "state": "optimized geometry", "e_form_ev_per_atom": 0.4786, "sg": "Imm2", "polymorph_energy_mev_per_atom": 0, "cell": [[-1.4833, 2.4329, 5.1098], [1.4833, -2.4329, 5.1098], [1.4833, 2.4329, -5.1098]], "species": ["La", "Os", "Os", "Au"], "frac_coords": [[0.0000, 0.0000, 0.0000], [0.5177, 0.5177, 0.0000], [0.7228, 0.2228, 0.5000], [0.2811, 0.7811, 0.5000]]}

***

No. 12
{"formula": "LaOsAu", "functional": "PBEsol", "state": "optimized geometry", "e_form_ev_per_atom": 0.0110, "sg": "P-6m2", "cell": [[4.4034, 0.0000, 0.0000], [-2.2017, 3.8135, 0.0000], [0.0000, 0.0000, 4.0215]], "species": ["La", "Os", "Au"], "frac_coords": [[0.0000, 0.0000, 0.0000], [0.3333, 0.6667, 0.5000], [0.6667, 0.3333, 0.5000]]}

***

No. 13
{"formula": "LaOs2Au", "functional": "PBEsol", "state": "optimized geometry", "e_form_ev_per_atom": 0.7672, "sg": "P4/mmm", "polymorph_energy_mev_per_atom": 289, "cell": [[2.9170, 0.0000, 0.0000], [0.0000, 2.9170, 0.0000], [0.0000, 0.0000, 8.3883]], "species": ["La", "Os", "Os", "Au"], "frac_coords": [[0.0000, 0.0000, 0.0000], [0.5000, 0.5000, 0.2840], [0.5000, 0.5000, 0.7160], [0.0000, 0.0000, 0.5000]]}

***

No. 14
{"formula": "LaP2Au", "functional": "PBEsol", "state": "optimized geometry", "e_form_ev_per_atom": -0.6414, "sg": "Pm", "cell": [[4.1289, 0.0000, 0.0000], [0.0000, 4.7565, 0.0000], [-0.1344, 0.0000, 4.4732]], "species": ["La", "P", "P", "Au"], "frac_coords": [[0.0000, 0.0000, 0.0000], [0.5102, 0.0000, 0.4591], [0.5952, 0.5000, 0.1856], [0.4215, 0.5000, 0.6853]]}

***

Number 1: size of the total moment 0.00 Bohr magnetons per cell. Number 2: size of the total moment 0.00 Bohr magnetons per cell. Number 3: size of the total moment 0.00 Bohr magnetons per cell. Number 4: size of the total moment 0.00 Bohr magnetons per cell. Number 5: size of the total moment 0.00 Bohr magnetons per cell. Number 6: size of the total moment 0.00 Bohr magnetons per cell. Number 7: size of the total moment 0.00 Bohr magnetons per cell. Number 8: size of the total moment 0.00 Bohr magnetons per cell. Number 9: size of the total moment 0.00 Bohr magnetons per cell. Number 10: size of the total moment 0.00 Bohr magnetons per cell. Number 11: size of the total moment 0.00 Bohr magnetons per cell. Number 12: size of the total moment 0.00 Bohr magnetons per cell. Number 13: size of the total moment 0.00 Bohr magnetons per cell. Number 14: size of the total moment 0.00 Bohr magnetons per cell.